{"formula": "LaCu2RuPt", "functional": "GGA-PBE", "state": "optimized geometry", "formation_energy_ev_per_atom": 0.206, "dft_energy_ev_per_cell": -27.4, "magmom_total_mub_per_atom": 0.000, "cell": [[-3.5468, -2.3938, -1.9517], [1.8476, -4.1261, 1.7032], [-2.5108, 0.5040, 3.9447]], "species": ["Ru", "Cu", "Cu", "Pt", "La"], "fractional_positions": [[0.0000, 0.0000, 0.0000], [0.0000, 0.0000, 0.5000], [0.5000, 0.0000, 0.0000], [0.0000, 0.5000, 0.0000], [0.5000, 0.5000, 0.5000]]}